(1)
! Sc2ZnIn3, optimized geometry, DFT PBE; values from VASP
! - crystal system = orthorhombic
! - total magnetization (μB/cell) = 0.0
! - energy relative to the elements (eV/atom) = -0.30
! - symmetry = No. 25
&SYSTEM
  ibrav = 0, nat = 6, ntyp = 3
/
ATOMIC_SPECIES
Sc 44.96 Sc.upf
Zn 65.41 Zn.upf
In 114.82 In.upf
CELL_PARAMETERS angstrom
3.3279 0.0000 0.0000
0.0000 4.7356 0.0000
0.0000 0.0000 8.2819
ATOMIC_POSITIONS crystal
Sc 0.0000 0.0000 0.0000
Sc 0.0000 0.5000 0.4879
Zn 0.5000 0.0000 0.3196
In 0.5000 0.0000 0.6413
In 0.5000 0.5000 0.1728
In 0.5000 0.5000 0.8303

(2)
! Sc2ZnIn, optimized geometry, DFT PBE; values from VASP
! - crystal system = orthorhombic
! - total magnetization (μB/cell) = 0.0
! - energy relative to the elements (eV/atom) = 0.33
! - symmetry = No. 71
&SYSTEM
  ibrav = 0, nat = 4, ntyp = 3
/
ATOMIC_SPECIES
Sc 44.96 Sc.upf
Zn 65.41 Zn.upf
In 114.82 In.upf
CELL_PARAMETERS angstrom
-1.6810 2.4687 5.9343
1.6810 -2.4687 5.9343
1.6810 2.4687 -5.9343
ATOMIC_POSITIONS crystal
Sc 0.2305 0.2305 0.0000
Sc 0.7695 0.7695 0.0000
Zn 0.0000 0.0000 0.0000
In 0.5000 0.5000 0.0000

Computed density of states at the Fermi level (states/eV/cell) in order:
4.35, 4.16